Record 1
4
Lattice="0.0000 3.6328 3.6328 3.6328 0.0000 3.6328 3.6328 3.6328 0.0000" Properties=species:S:1:pos:R:3 comment="RbTaAg2, optimized geometry, DFT PBE" polymorph_energy_mev_per_atom=53.9 formation_enthalpy_0k_mev_per_atom=1297 pbc="T T T"
Rb 0.0000 0.0000 0.0000
Ta 3.6328 3.6328 3.6328
Ag 1.8164 1.8164 1.8164
Ag 5.4492 5.4492 5.4492

***

Record 2
4
Lattice="0.0000 4.3163 4.3163 4.3163 0.0000 4.3163 4.3163 4.3163 0.0000" Properties=species:S:1:pos:R:3 comment="Rb2TaAg, optimized geometry, DFT PBE" polymorph_energy_mev_per_atom=180.1 formation_enthalpy_0k_mev_per_atom=1554 pbc="T T T"
Rb 2.1581 2.1581 2.1581
Rb 6.4744 6.4744 6.4744
Ta 0.0000 0.0000 0.0000
Ag 4.3163 4.3163 4.3163

***

Record 3
14
Lattice="6.3849 0.0000 0.0000 0.0000 9.7427 0.0000 -1.5244 0.0000 9.8631" Properties=species:S:1:pos:R:3 comment="RbTaAgTe4, optimized geometry, DFT PBE" raw_formation_energy_ev_per_atom=-0.36 pbc="T T T"
Rb 0.5829 2.4357 3.7620
Rb 4.2777 7.3070 6.1011
Ta -1.1585 2.4357 7.8014
Ta 6.0191 7.3070 2.0617
Ag 2.8060 7.3070 1.9556
Ag 2.0545 2.4357 7.9075
Te -0.5222 7.3070 9.6591
Te 0.2963 0.2462 7.8481
Te 0.2963 4.6251 7.8481
Te 1.1351 7.3070 4.2243
Te 3.7254 2.4357 5.6388
Te 4.5643 5.1176 2.0150
Te 4.5643 9.4964 2.0150
Te 5.3827 2.4357 0.2040

***

Record 4
5
Lattice="4.8984 0.0000 0.0000 0.0000 4.8984 0.0000 0.0000 0.0000 5.6529" Properties=species:S:1:pos:R:3 comment="RbTaAgW2, optimized geometry, DFT PBE" formation_enthalpy_0k_mev_per_atom=1915 pbc="T T T"
Rb 0.0000 0.0000 0.0000
Ta 2.4492 2.4492 2.8264
Ag 2.4492 2.4492 0.0000
W 0.0000 2.4492 2.8264
W 2.4492 0.0000 2.8264

***

Record 5
10
Lattice="8.5193 0.0000 0.0000 0.0000 4.8018 0.0000 -0.1781 0.0000 8.8064" Properties=species:S:1:pos:R:3 comment="RbTbAgTe2, optimized geometry, DFT PBE" raw_formation_energy_ev_per_atom=-0.82 pbc="T T T"
Rb -0.0445 0.0939 2.2016
Rb -0.1336 4.7079 6.6048
Tb 4.1260 2.3982 6.6048
Tb 4.2151 2.4036 2.2016
Ag 4.2596 0.0000 0.0000
Ag 4.1706 0.0000 4.4032
Te 2.0045 2.0277 8.7665
Te 2.0936 2.7741 4.3633
Te 6.2475 2.0277 4.4431
Te 6.3366 2.7741 0.0399

***

Record 6
5
Lattice="4.6853 0.0000 0.0000 0.0000 4.6853 0.0000 0.0000 0.0000 4.6853" Properties=species:S:1:pos:R:3 comment="RbTc3Ag, optimized geometry, DFT PBE" polymorph_energy_mev_per_atom=878.3 formation_enthalpy_0k_mev_per_atom=3216 pbc="T T T"
Rb 0.0000 0.0000 0.0000
Tc 0.0000 0.0000 2.3427
Tc 0.0000 2.3427 0.0000
Tc 2.3427 0.0000 0.0000
Ag 2.3427 2.3427 2.3427

***

Record 7
5
Lattice="6.6604 0.0000 0.0000 0.0000 6.6604 0.0000 0.0000 0.0000 6.6604" Properties=species:S:1:pos:R:3 comment="Rb3TcAg, optimized geometry, DFT PBE" polymorph_energy_mev_per_atom=0.0 formation_enthalpy_0k_mev_per_atom=1162 pbc="T T T"
Rb 0.0000 0.0000 3.3302
Rb 0.0000 3.3302 0.0000
Rb 3.3302 0.0000 0.0000
Tc 3.3302 3.3302 3.3302
Ag 0.0000 0.0000 0.0000

***

Record 8
5
Lattice="5.1861 0.0000 0.0000 0.0000 5.1861 0.0000 0.0000 0.0000 5.1861" Properties=species:S:1:pos:R:3 comment="RbTc3Ag, optimized geometry, DFT PBE" polymorph_energy_mev_per_atom=0.0 formation_enthalpy_0k_mev_per_atom=2337 pbc="T T T"
Rb 0.0000 0.0000 0.0000
Tc 0.0000 2.5931 2.5931
Tc 2.5931 0.0000 2.5931
Tc 2.5931 2.5931 0.0000
Ag 2.5931 2.5931 2.5931